Record 1
A plane-wave DFT calculation with PBE was carried out for a relaxed structure of SbTeMo2.

- energy above the most stable polymorph in this dataset (kJ per mole of atoms) = 29.75
- energy relative to the elements, uncorrected (eV per atom) = 0.430
- crystal system = monoclinic
- DOS(E_F) (states/eV/atom) = 1.096

extended XYZ file:
```
4
Lattice="4.3207 -1.6188 0.0000 4.3207 1.6188 0.0000 -1.2317 0.0000 5.5106" Properties=species:S:1:pos:R:3 pbc="T T T"
Sb 0.0000 0.0000 0.0000
Te 3.7048 0.0000 2.7553
Mo 1.2913 0.0000 4.0626
Mo 6.1183 0.0000 1.4481
```

=====

Record 2
A plane-wave DFT calculation with PBE was carried out for a relaxed structure of Zn5Ag3.

- energy above the most stable polymorph in this dataset (kJ per mole of atoms) = 0.83
- crystal system = orthorhombic
- formation enthalpy at 0 K (eV per atom) = -0.0014
- DOS(E_F) (states/eV/atom) = 0.320

extended XYZ file:
```
8
Lattice="3.5661 -4.1702 0.0000 3.5661 4.1702 0.0000 0.0000 0.0000 4.2740" Properties=species:S:1:pos:R:3 pbc="T T T"
Zn 0.0000 0.0000 0.0000
Zn 1.7831 2.0851 0.0000
Zn 1.7815 0.0000 2.1370
Zn 1.7831 -2.0851 0.0000
Zn 5.3508 0.0000 2.1370
Ag 3.5661 2.1041 2.1370
Ag 3.5661 0.0000 0.0000
Ag 3.5661 -2.1041 2.1370
```

=====

Record 3
A plane-wave DFT calculation with PBE was carried out for a relaxed structure of TaCd2I2.

- energy above the most stable polymorph in this dataset (kJ per mole of atoms) = 0.00
- energy relative to the elements, uncorrected (eV per atom) = 0.527
- crystal system = tetragonal
- DOS(E_F) (states/eV/atom) = 0.703

extended XYZ file:
```
5
Lattice="-1.8408 1.8408 11.5429 1.8408 -1.8408 11.5429 1.8408 1.8408 -11.5429" Properties=species:S:1:pos:R:3 pbc="T T T"
Ta 0.0000 0.0000 0.0000
Cd 1.8408 0.0000 5.7714
Cd 0.0000 1.8408 5.7714
I 0.0000 0.0000 9.8508
I 0.0000 0.0000 13.2350
```

=====

Record 4
A plane-wave DFT calculation with PBE was carried out for a relaxed structure of Zr6Hg3C.

- crystal system = monoclinic
- formation enthalpy at 0 K (eV per atom) = -0.1736
- DOS(E_F) (states/eV/atom) = 0.893

extended XYZ file:
```
20
Lattice="6.0077 0.0000 0.0000 0.0000 7.5730 0.0000 -5.5258 0.0000 9.5622" Properties=species:S:1:pos:R:3 pbc="T T T"
Zr -0.8161 0.3368 2.0866
Zr -3.5790 3.4497 6.8677
Zr 0.6581 5.4751 0.5849
Zr -2.1047 5.8843 5.3660
Zr 2.0436 1.0346 0.4930
Zr -0.7192 2.7519 5.2741
Zr 1.2012 4.8211 4.2881
Zr -1.5617 6.5384 9.0692
Zr 2.5867 1.6886 4.1962
Zr -0.1762 2.0979 8.9773
Zr 4.0609 4.1233 2.6945
Zr 1.2980 7.2362 7.4756
Hg -2.1007 0.8898 7.0144
Hg 0.6622 2.8967 2.2333
Hg 0.2410 0.0000 4.7811
Hg 3.0038 3.7865 0.0000
Hg -0.1803 4.6763 7.3289
Hg 2.5826 6.6832 2.5478
C 0.0000 0.0000 0.0000
C -2.7629 3.7865 4.7811
```

=====

Record 5
A plane-wave DFT calculation with PBE was carried out for a relaxed structure of Mg3MnH.

- energy above the most stable polymorph in this dataset (kJ per mole of atoms) = 81.61
- crystal system = cubic
- DOS(E_F) (states/eV/atom) = 0.765

extended XYZ file:
```
5
Lattice="5.2529 0.0000 0.0000 0.0000 5.2529 0.0000 0.0000 0.0000 5.2529" Properties=species:S:1:pos:R:3 pbc="T T T"
Mg 0.0000 0.0000 2.6265
Mg 0.0000 2.6265 0.0000
Mg 2.6265 0.0000 0.0000
Mn 0.0000 0.0000 0.0000
H 2.6265 2.6265 2.6265
```

=====

Record 6
A plane-wave DFT calculation with PBE was carried out for a relaxed structure of TaAgW2.

- energy above the most stable polymorph in this dataset (kJ per mole of atoms) = 21.91
- crystal system = tetragonal
- formation enthalpy at 0 K (eV per atom) = 0.4476
- DOS(E_F) (states/eV/atom) = 0.849

extended XYZ file:
```
4
Lattice="-2.1174 2.1174 3.7635 2.1174 -2.1174 3.7635 2.1174 2.1174 -3.7635" Properties=species:S:1:pos:R:3 pbc="T T T"
Ta 0.0000 0.0000 0.0000
Ag 0.0000 2.1174 1.8817
W 2.1174 0.0000 1.8817
W 0.0000 0.0000 3.7635
```

=====

Record 7
A plane-wave DFT calculation with PBE was carried out for a relaxed structure of PrTmPt.

- energy above the most stable polymorph in this dataset (kJ per mole of atoms) = 11.03
- crystal system = cubic
- formation enthalpy at 0 K (eV per atom) = -0.7861
- DOS(E_F) (states/eV/atom) = 0.676

extended XYZ file:
```
3
Lattice="0.0000 3.4937 3.4937 3.4937 0.0000 3.4937 3.4937 3.4937 0.0000" Properties=species:S:1:pos:R:3 pbc="T T T"
Pr 0.0000 0.0000 0.0000
Tm 3.4937 3.4937 3.4937
Pt 1.7469 1.7469 1.7469
```

=====

Record 8
A plane-wave DFT calculation with PBE was carried out for a relaxed structure of TlHgPdBr2.

- energy relative to the elements, uncorrected (eV per atom) = -0.347
- crystal system = tetragonal
- DOS(E_F) (states/eV/atom) = 0.182

extended XYZ file:
```
5
Lattice="5.3278 0.0000 0.0000 0.0000 5.3278 0.0000 0.0000 0.0000 5.3463" Properties=species:S:1:pos:R:3 pbc="T T T"
Tl 0.0000 0.0000 0.0000
Hg 2.6639 2.6639 0.0000
Pd 2.6639 2.6639 2.6732
Br 0.0000 2.6639 2.6732
Br 2.6639 0.0000 2.6732
```

=====

Record 9
A plane-wave DFT calculation with PBE was carried out for a relaxed structure of CeEr4Sc5.

- crystal system = tetragonal
- formation enthalpy at 0 K (eV per atom) = 0.2466
- DOS(E_F) (states/eV/atom) = 1.864

extended XYZ file:
```
10
Lattice="-5.0020 5.0020 2.7936 5.0020 -5.0020 2.7936 5.0020 5.0020 -2.7936" Properties=species:S:1:pos:R:3 pbc="T T T"
Ce 0.0000 0.0000 0.0000
Er 3.2285 0.0000 1.4708
Er 6.7755 0.0000 1.4708
Er 0.0000 3.2285 1.4708
Er 0.0000 6.7755 1.4708
Sc 0.0000 0.0000 2.6322
Sc 3.1344 3.1344 1.3302
Sc 1.8676 -1.8676 4.1238
Sc -1.8676 1.8676 4.1238
Sc 1.8676 1.8676 4.1238
```

=====

Record 10
A plane-wave DFT calculation with PBE was carried out for a relaxed structure of Ce3Zr.

- energy above the most stable polymorph in this dataset (kJ per mole of atoms) = 0.00
- crystal system = orthorhombic
- formation enthalpy at 0 K (eV per atom) = 0.0805
- DOS(E_F) (states/eV/atom) = 2.724

extended XYZ file:
```
4
Lattice="-1.5702 5.3575 3.0492 1.5702 -5.3575 3.0492 1.5702 5.3575 -3.0492" Properties=species:S:1:pos:R:3 pbc="T T T"
Ce 0.0000 0.0000 0.0000
Ce 1.5702 -2.8325 1.7048
Ce 1.5702 2.8325 1.7048
Zr 0.0000 5.3575 0.0281
```